Record 1
MnPtRh | GGA-PBE | relaxed

Cell lengths 4.775, 4.775, 4.775 Å; angles 146.25, 134.02, 58.24 degrees
Atoms (fractional coordinates):
Mn (0.000, 0.000, 0.000)
Pt (0.666, 0.666, 0.000)
Rh (0.341, 0.341, 0.000)

Output
**Energy of formation from the pure elements**: -162 meV/atom
**Calculated volume**: 43.1 Å³/f.u.
**Energy**: -23.0 eV/cell
**E above lowest polymorph**: 0.06 eV/f.u.

---

Record 2
FeMoBr | GGA-PBE | relaxed

Cell lengths 4.346, 4.346, 2.953 Å; angles 90.00, 90.00, 120.00 degrees
Atoms (fractional coordinates):
Fe (0.000, 0.000, 0.000)
Mo (0.333, 0.667, 0.500)
Br (0.667, 0.333, 0.500)

Output
**Uncorrected formation energy**: 0.882 eV per atom
**Calculated volume**: 48.3 Å³/f.u.
**Energy**: -18.3 eV/cell
**E above lowest polymorph**: 1.10 eV/f.u.